[1]
Compound: Ho4B3PdPt12
Source: the Alexandria database
Functional: GGA-PBE
Structure: optimized geometry

The structure in CIF format:
```
data_Ho4B3PdPt12
_chemical_formula_sum 'Ho4 B3 Pd1 Pt12'
_cell_length_a 7.712
_cell_length_b 7.712
_cell_length_c 7.712
_cell_angle_alpha 109.47
_cell_angle_beta 109.47
_cell_angle_gamma 109.47
_symmetry_space_group_name_H-M 'P 1'
_symmetry_Int_Tables_number 1
_symmetry_space_group_name_Hall 'P 1'
loop_
_atom_site_label
_atom_site_type_symbol
_atom_site_fract_x
_atom_site_fract_y
_atom_site_fract_z
B1 B 0.000 0.500 0.500
Pt1 Pt 0.500 0.750 0.250
Pt2 Pt 0.720 0.000 0.720
Pt3 Pt 0.280 0.280 0.000
Pt4 Pt 0.750 0.250 0.500
Pt5 Pt 0.250 0.500 0.750
Pd1 Pd 0.000 0.000 0.000
Ho1 Ho 0.000 0.500 0.000
Pt6 Pt 0.250 0.750 0.500
Pt7 Pt 0.720 0.720 0.000
Pt8 Pt 0.500 0.250 0.750
Ho2 Ho 0.000 0.000 0.500
Ho3 Ho 0.500 0.500 0.500
Pt9 Pt 0.750 0.500 0.250
B2 B 0.500 0.500 0.000
Pt10 Pt 0.000 0.280 0.280
Pt11 Pt 0.280 0.000 0.280
Pt12 Pt 0.000 0.720 0.720
Ho4 Ho 0.500 0.000 0.000
B3 B 0.500 0.000 0.500
```

Properties
The value obtained for the formation energy is -0.614 eV per atom. The total energy is -6.42 eV/atom. The value obtained for the size of the total moment is 0.0 Bohr magnetons per cell. The calculated density is 14.8 g cm⁻³. Its crystal system is cubic.

=====

[2]
Compound: Ho3B2PdPt9
Source: the Alexandria database
Functional: GGA-PBE
Structure: optimized geometry

The structure in CIF format:
```
data_Ho3B2PdPt9
_chemical_formula_sum 'Ho3 B2 Pd1 Pt9'
_cell_length_a 5.676
_cell_length_b 5.676
_cell_length_c 9.515
_cell_angle_alpha 90.00
_cell_angle_beta 90.00
_cell_angle_gamma 120.00
_symmetry_space_group_name_H-M 'P 1'
_symmetry_Int_Tables_number 1
_symmetry_space_group_name_Hall 'P 1'
loop_
_atom_site_label
_atom_site_type_symbol
_atom_site_fract_x
_atom_site_fract_y
_atom_site_fract_z
Pt1 Pt 0.327 0.163 0.722
Ho1 Ho 0.000 0.000 0.000
Pt2 Pt 0.163 0.837 0.278
Pt3 Pt 0.500 0.500 0.000
Pt4 Pt 0.673 0.837 0.278
Pt5 Pt 0.837 0.163 0.722
Ho2 Ho 0.667 0.333 0.400
Ho3 Ho 0.333 0.667 0.600
Pt6 Pt 0.000 0.500 0.000
B1 B 0.333 0.667 0.147
Pt7 Pt 0.500 0.000 0.000
B2 B 0.667 0.333 0.853
Pt8 Pt 0.163 0.327 0.278
Pt9 Pt 0.837 0.673 0.722
Pd1 Pd 0.000 0.000 0.500
```

Properties
The value obtained for the formation energy is -0.790 eV per atom. The total energy is -6.57 eV/atom. The value obtained for the size of the total moment is 0.0 Bohr magnetons per cell. The calculated density is 14.9 g cm⁻³. Its crystal system is trigonal.

=====

[3]
Compound: Ho2BPd2Pt4
Source: the Alexandria database
Functional: GGA-PBE
Structure: optimized geometry

The structure in CIF format:
```
data_Ho2BPd2Pt4
_chemical_formula_sum 'Ho2 B1 Pd2 Pt4'
_cell_length_a 5.986
_cell_length_b 5.986
_cell_length_c 5.986
_cell_angle_alpha 87.64
_cell_angle_beta 121.37
_cell_angle_gamma 121.37
_symmetry_space_group_name_H-M 'P 1'
_symmetry_Int_Tables_number 1
_symmetry_space_group_name_Hall 'P 1'
loop_
_atom_site_label
_atom_site_type_symbol
_atom_site_fract_x
_atom_site_fract_y
_atom_site_fract_z
B1 B 0.000 0.000 0.000
Ho1 Ho 0.500 0.250 0.750
Pt1 Pt 0.000 0.744 0.256
Ho2 Ho 0.500 0.750 0.250
Pd1 Pd 0.000 0.742 0.742
Pt2 Pt 0.488 0.744 0.744
Pt3 Pt 0.000 0.256 0.744
Pd2 Pd 0.000 0.258 0.258
Pt4 Pt 0.512 0.256 0.256
```

Properties
The value obtained for the formation energy is -0.997 eV per atom. The total energy is -6.60 eV/atom. The value obtained for the size of the total moment is 0.0 Bohr magnetons per cell. The calculated density is 14.9 g cm⁻³. Its crystal system is tetragonal.

=====

[4]
Compound: HoBPdRh2
Source: the Alexandria database
Functional: GGA-PBE
Structure: optimized geometry

The structure in CIF format:
```
data_HoBPdRh2
_chemical_formula_sum 'Ho1 B1 Pd1 Rh2'
_cell_length_a 4.233
_cell_length_b 4.216
_cell_length_c 4.216
_cell_angle_alpha 90.00
_cell_angle_beta 90.00
_cell_angle_gamma 90.00
_symmetry_space_group_name_H-M 'P 1'
_symmetry_Int_Tables_number 1
_symmetry_space_group_name_Hall 'P 1'
loop_
_atom_site_label
_atom_site_type_symbol
_atom_site_fract_x
_atom_site_fract_y
_atom_site_fract_z
Ho1 Ho 0.500 0.500 0.500
Pd1 Pd 0.500 0.000 0.000
Rh1 Rh 0.000 0.000 0.500
Rh2 Rh 0.000 0.500 0.000
B1 B 0.000 0.000 0.000
```

Properties
The value obtained for the formation energy is -0.821 eV per atom. The total energy is -7.05 eV/atom. The value obtained for the size of the total moment is 0.0 Bohr magnetons per cell. The calculated density is 10.8 g cm⁻³. Its crystal system is tetragonal.

=====

[5]
Compound: PmHoB4
Source: the Alexandria database
Functional: GGA-PBE
Structure: optimized geometry

The structure in CIF format:
```
data_PmHoB4
_chemical_formula_sum 'Pm4 Ho4 B16'
_cell_length_a 4.010
_cell_length_b 6.275
_cell_length_c 12.279
_cell_angle_alpha 90.00
_cell_angle_beta 90.00
_cell_angle_gamma 90.00
_symmetry_space_group_name_H-M 'P 1'
_symmetry_Int_Tables_number 1
_symmetry_space_group_name_Hall 'P 1'
loop_
_atom_site_label
_atom_site_type_symbol
_atom_site_fract_x
_atom_site_fract_y
_atom_site_fract_z
B1 B 0.500 0.204 0.807
Pm1 Pm 0.000 0.866 0.847
B2 B 0.500 0.873 0.025
B3 B 0.500 0.796 0.193
Pm2 Pm 0.000 0.634 0.347
B4 B 0.500 0.373 0.475
Pm3 Pm 0.000 0.134 0.153
B5 B 0.500 0.383 0.048
B6 B 0.500 0.883 0.452
B7 B 0.500 0.617 0.952
Ho1 Ho 0.000 0.856 0.590
B8 B 0.500 0.627 0.525
B9 B 0.500 0.704 0.693
Ho2 Ho 0.000 0.356 0.910
Ho3 Ho 0.000 0.144 0.410
B10 B 0.500 0.127 0.975
B11 B 0.500 0.967 0.306
B12 B 0.500 0.296 0.307
B13 B 0.500 0.117 0.548
B14 B 0.500 0.467 0.194
B15 B 0.500 0.533 0.806
Pm4 Pm 0.000 0.366 0.653
B16 B 0.500 0.033 0.694
Ho4 Ho 0.000 0.644 0.090
```

Properties
The value obtained for the formation energy is -0.310 eV per atom. The total energy is -6.32 eV/atom. The value obtained for the size of the total moment is 0.0 Bohr magnetons per cell. The calculated density is 7.6 g cm⁻³. Its crystal system is orthorhombic.

=====

[6]
Compound: PmHo2B9
Source: the Alexandria database
Functional: GGA-PBE
Structure: optimized geometry

The structure in CIF format:
```
data_PmHo2B9
_chemical_formula_sum 'Pm1 Ho2 B9'
_cell_length_a 4.651
_cell_length_b 4.651
_cell_length_c 8.095
_cell_angle_alpha 73.30
_cell_angle_beta 73.30
_cell_angle_gamma 60.00
_symmetry_space_group_name_H-M 'P 1'
_symmetry_Int_Tables_number 1
_symmetry_space_group_name_Hall 'P 1'
loop_
_atom_site_label
_atom_site_type_symbol
_atom_site_fract_x
_atom_site_fract_y
_atom_site_fract_z
B1 B 0.582 0.582 0.255
B2 B 0.371 0.013 0.246
B3 B 0.371 0.371 0.246
B4 B 0.418 0.418 0.745
Ho1 Ho 0.866 0.866 0.402
Pm1 Pm 0.000 0.000 0.000
B5 B 0.629 0.987 0.754
B6 B 0.987 0.629 0.754
B7 B 0.500 0.500 0.500
Ho2 Ho 0.134 0.134 0.598
B8 B 0.013 0.371 0.246
B9 B 0.629 0.629 0.754
```

Properties
The value obtained for the formation energy is -0.132 eV per atom. The total energy is -6.30 eV/atom. The value obtained for the size of the total moment is 0.0 Bohr magnetons per cell. The calculated density is 6.6 g cm⁻³. Its crystal system is trigonal.

=====

[7]
Compound: PmHo2B6
Source: the Alexandria database
Functional: GGA-PBE
Structure: optimized geometry

The structure in CIF format:
```
data_PmHo2B6
_chemical_formula_sum 'Pm1 Ho2 B6'
_cell_length_a 3.925
_cell_length_b 5.720
_cell_length_c 5.720
_cell_angle_alpha 120.00
_cell_angle_beta 90.00
_cell_angle_gamma 90.00
_symmetry_space_group_name_H-M 'P 1'
_symmetry_Int_Tables_number 1
_symmetry_space_group_name_Hall 'P 1'
loop_
_atom_site_label
_atom_site_type_symbol
_atom_site_fract_x
_atom_site_fract_y
_atom_site_fract_z
B1 B 0.500 0.662 0.000
Ho1 Ho 0.000 0.667 0.333
Pm1 Pm 0.000 0.000 0.000
B2 B 0.500 0.662 0.662
Ho2 Ho 0.000 0.333 0.667
B3 B 0.500 0.338 0.338
B4 B 0.500 0.000 0.662
B5 B 0.500 0.338 0.000
B6 B 0.500 0.000 0.338
```

Properties
The value obtained for the formation energy is -0.504 eV per atom. The total energy is -6.50 eV/atom. The value obtained for the size of the total moment is 0.0 Bohr magnetons per cell. The calculated density is 8.1 g cm⁻³. Its crystal system is hexagonal.

=====

[8]
Compound: PrHoB12
Source: the Alexandria database
Functional: GGA-PBE
Structure: optimized geometry

The structure in CIF format:
```
data_PrHoB12
_chemical_formula_sum 'Pr1 Ho1 B12'
_cell_length_a 4.118
_cell_length_b 4.118
_cell_length_c 8.237
_cell_angle_alpha 90.00
_cell_angle_beta 90.00
_cell_angle_gamma 90.00
_symmetry_space_group_name_H-M 'P 1'
_symmetry_Int_Tables_number 1
_symmetry_space_group_name_Hall 'P 1'
loop_
_atom_site_label
_atom_site_type_symbol
_atom_site_fract_x
_atom_site_fract_y
_atom_site_fract_z
B1 B 0.801 0.500 0.248
B2 B 0.801 0.500 0.752
B3 B 0.500 0.500 0.901
B4 B 0.500 0.801 0.752
B5 B 0.500 0.500 0.099
Ho1 Ho 0.000 0.000 0.000
B6 B 0.500 0.199 0.752
Pr1 Pr 0.000 0.000 0.500
B7 B 0.500 0.199 0.248
B8 B 0.500 0.801 0.248
B9 B 0.500 0.500 0.601
B10 B 0.199 0.500 0.752
B11 B 0.199 0.500 0.248
B12 B 0.500 0.500 0.399
```

Properties
The value obtained for the formation energy is -0.433 eV per atom. The total energy is -6.82 eV/atom. The value obtained for the size of the total moment is 0.0 Bohr magnetons per cell. The calculated density is 5.2 g cm⁻³. Its crystal system is tetragonal.

=====

[9]
Compound: PrHo3B
Source: the Alexandria database
Functional: GGA-PBE
Structure: optimized geometry

The structure in CIF format:
```
data_PrHo3B
_chemical_formula_sum 'Pr1 Ho3 B1'
_cell_length_a 5.163
_cell_length_b 5.163
_cell_length_c 5.163
_cell_angle_alpha 90.00
_cell_angle_beta 90.00
_cell_angle_gamma 90.00
_symmetry_space_group_name_H-M 'P 1'
_symmetry_Int_Tables_number 1
_symmetry_space_group_name_Hall 'P 1'
loop_
_atom_site_label
_atom_site_type_symbol
_atom_site_fract_x
_atom_site_fract_y
_atom_site_fract_z
B1 B 0.000 0.000 0.000
Ho1 Ho 0.500 0.000 0.000
Ho2 Ho 0.000 0.000 0.500
Pr1 Pr 0.500 0.500 0.500
Ho3 Ho 0.000 0.500 0.000
```

Properties
The value obtained for the formation energy is 0.040 eV per atom. The total energy is -5.00 eV/atom. The value obtained for the size of the total moment is 0.0 Bohr magnetons per cell. The calculated density is 7.8 g cm⁻³. Its crystal system is cubic.